The following is a DFT calculation (GGA-PBE) of BaAg2Br6 after structural relaxation.

```
BaAg2Br6
1.0
7.1583 0.0000 0.0000
-3.5792 6.1993 0.0000
0.0000 0.0000 6.9886
Ba Ag Br
1 2 6
direct
0.0000 0.0000 0.0000
0.3333 0.6667 0.5000
0.6667 0.3333 0.5000
0.0000 0.3794 0.7312
0.0000 0.6206 0.2688
0.3794 0.0000 0.7312
0.3794 0.3794 0.2688
0.6206 0.0000 0.2688
0.6206 0.6206 0.7312
```

E_form (uncorrected), eV/atom: -0.784
Space-group type: No. 162


The following is a DFT calculation (GGA-PBE) of ErPuTlRu after structural relaxation.

```
ErPuTlRu
1.0
3.3334 0.0000 0.0000
0.0000 3.3334 0.0000
0.0000 0.0000 8.3671
Er Pu Tl Ru
1 1 1 1
direct
0.0000 0.0000 0.0000
0.0000 0.0000 0.5913
0.5000 0.5000 0.2927
0.5000 0.5000 0.7969
```

ΔH_f (0 K), meV per atom: -261
Space-group type: No. 99


| no. | density (kg/m³) |
| --- | --- |
| 1 | 4457 |
| 2 | 12801 |